# 1
This record from Alexandria describes a geometry-optimized FeSbPt2 structure. The functional is PBE-GGA.

ΔE_f (raw) = -0.113 eV/atom
D(E_F) = 2.8 states/eV/cell

Lattice parameters (Å, degrees): 3.461 3.509 5.567 90.00 90.00 90.00
Fractional coordinates of all 4 atoms:
Fe 0.000 0.000 0.000
Sb 0.000 0.000 0.500
Pt 0.500 0.500 0.236
Pt 0.500 0.500 0.764

# 2
This record from Alexandria describes a geometry-optimized FeSb2Pt structure. The functional is PBE-GGA.

ΔE_f (raw) = 0.151 eV/atom
D(E_F) = 4.0 states/eV/cell

Lattice parameters (Å, degrees): 3.374 3.408 6.494 90.00 90.00 90.00
Fractional coordinates of all 4 atoms:
Fe 0.000 0.000 0.000
Sb 0.500 0.500 0.240
Sb 0.500 0.500 0.760
Pt 0.000 0.000 0.500

# 3
This record from Alexandria describes a geometry-optimized FeSb2Pt structure. The functional is PBE-GGA.

ΔE_f (raw) = 0.424 eV/atom
D(E_F) = 3.9 states/eV/cell

Lattice parameters (Å, degrees): 4.843 4.843 4.843 60.00 60.00 60.00
Fractional coordinates of all 4 atoms:
Fe 0.000 0.000 0.000
Sb 0.500 0.500 0.500
Sb 0.750 0.750 0.750
Pt 0.250 0.250 0.250

# 4
This record from Alexandria describes a geometry-optimized FeSb2Pt structure. The functional is PBE-GGA.

ΔE_f (raw) = -0.072 eV/atom
D(E_F) = 3.0 states/eV/cell

Lattice parameters (Å, degrees): 3.848 3.864 5.392 90.00 105.90 90.00
Fractional coordinates of all 4 atoms:
Fe 0.000 0.000 0.000
Sb 0.470 0.500 0.883
Sb 0.798 0.000 0.470
Pt 0.259 0.500 0.348

# 5
This record from Alexandria describes a geometry-optimized FeSb2Pt structure. The functional is PBE-GGA.

ΔE_f (raw) = -0.183 eV/atom
D(E_F) = 3.1 states/eV/cell

Lattice parameters (Å, degrees): 4.006 4.006 5.439 90.00 90.00 120.00
Fractional coordinates of all 4 atoms:
Fe 0.000 0.000 0.000
Sb 0.333 0.667 0.223
Sb 0.667 0.333 0.777
Pt 0.000 0.000 0.500

# 6
This record from Alexandria describes a geometry-optimized FeSbPt2 structure. The functional is PBE-GGA.

ΔE_f (raw) = -0.096 eV/atom
D(E_F) = 3.6 states/eV/cell

Lattice parameters (Å, degrees): 4.983 4.983 3.983 113.41 113.41 47.14
Fractional coordinates of all 4 atoms:
Fe 0.000 0.000 0.000
Sb 0.500 0.500 0.500
Pt 0.251 0.251 0.751
Pt 0.749 0.749 0.249